Version w
The following is a DFT calculation (PBE) of a relaxed K2CuI3 crystal.

The structure in POSCAR format:
```
K2CuI3
1.0
4.6105 0.0000 0.0000
0.0000 13.7642 0.0000
0.0000 0.0000 14.4273
K Cu I
8 4 12
Direct
0.7500 0.1812 0.9849 K
0.7500 0.6812 0.5151 K
0.2500 0.8188 0.0151 K
0.2500 0.3188 0.4849 K
0.7500 0.0119 0.3176 K
0.7500 0.5119 0.1824 K
0.2500 0.9881 0.6824 K
0.2500 0.4881 0.8176 K
0.7500 0.7566 0.8084 Cu
0.7500 0.2566 0.6916 Cu
0.2500 0.2434 0.1916 Cu
0.2500 0.7434 0.3084 Cu
0.7500 0.9395 0.8654 I
0.7500 0.4395 0.6347 I
0.2500 0.0605 0.1346 I
0.2500 0.5605 0.3654 I
0.7500 0.6298 0.9450 I
0.7500 0.1298 0.5550 I
0.2500 0.3702 0.0550 I
0.2500 0.8702 0.4450 I
0.7500 0.7726 0.2126 I
0.7500 0.2726 0.2874 I
0.2500 0.2274 0.7874 I
0.2500 0.7274 0.7126 I
```

## Properties
The density of states at the Fermi level comes out at 0.00 states/eV/cell. For the density, the calculation gives 3.79 Mg/m³. The total magnetic moment comes out at 0.00 μB per formula unit.

Version x
The following is a DFT calculation (PBE) of a relaxed K2CuI3 crystal.

The structure in POSCAR format:
```
K2CuI3
1.0
-4.5748 -7.3540 -3.4209
4.9776 -6.3673 -0.4576
-0.9042 -5.6052 5.7699
K Cu I
4 2 6
Direct
0.6587 0.1508 0.5296 K
0.1587 0.5296 0.1508 K
0.8413 0.4704 0.8492 K
0.3413 0.8492 0.4704 K
0.7500 0.8866 0.1134 Cu
0.2500 0.1134 0.8866 Cu
0.2500 0.4096 0.5904 I
0.7500 0.5904 0.4096 I
0.9459 0.8804 0.8059 I
0.5541 0.1941 0.1196 I
0.4459 0.8059 0.8804 I
0.0541 0.1196 0.1941 I
```

## Properties
The density of states at the Fermi level comes out at 0.00 states/eV/cell. For the density, the calculation gives 3.45 Mg/m³. The total magnetic moment comes out at 0.00 μB per formula unit.

Question: which arrangement is favored energetically? Ranking from most to least stable: version w, version x.

Version w
The following is a DFT calculation (PBE) of a relaxed KCu2I crystal.

The structure in POSCAR format:
```
KCu2I
1.0
0.0000 3.6674 3.6674
3.6674 0.0000 3.6674
3.6674 3.6674 0.0000
I K Cu
1 1 2
Direct
0.5000 0.5000 0.5000 I
0.0000 0.0000 0.0000 K
0.2500 0.2500 0.2500 Cu
0.7500 0.7500 0.7500 Cu
```

## Properties
The density of states at the Fermi level comes out at 1.36 states/eV/cell. For the density, the calculation gives 4.93 Mg/m³. The total magnetic moment comes out at 0.00 μB per formula unit.

Version x
The following is a DFT calculation (PBE) of a relaxed KCu2I crystal.

The structure in POSCAR format:
```
KCu2I
1.0
8.5102 0.0000 0.0000
0.0000 8.5102 0.0000
4.2551 4.2551 3.1814
I K Cu
2 2 4
Direct
0.0000 0.0000 0.0000 I
0.7500 0.2500 0.5000 I
0.5000 0.5000 0.0000 K
0.2500 0.7500 0.5000 K
0.6911 0.1250 0.2500 Cu
0.0589 0.6250 0.2500 Cu
0.3750 0.3089 0.7500 Cu
0.8750 0.9411 0.7500 Cu
```

## Properties
The density of states at the Fermi level comes out at 2.04 states/eV/cell. For the density, the calculation gives 4.22 Mg/m³. The total magnetic moment comes out at 0.00 μB per formula unit.

Question: which arrangement is favored energetically? Ranking from most to least stable: version x, version w.

Version w
The following is a DFT calculation (PBE) of a relaxed KCuIN2 crystal.

The structure in POSCAR format:
```
KCuIN2
1.0
-0.9263 1.4817 4.6255
-1.5266 -4.5591 1.1547
6.5316 -1.7166 1.8579
I K Cu N
1 1 1 2
Direct
0.0000 0.0000 0.5000 I
0.0000 0.0000 0.0000 K
0.5000 0.5000 0.5000 Cu
0.0000 0.5000 0.0000 N
0.5000 0.0000 0.0000 N
```

## Properties
The density of states at the Fermi level comes out at 2.47 states/eV/cell. For the density, the calculation gives 2.50 Mg/m³. The total magnetic moment comes out at 5.11 μB per formula unit.

Version x
The following is a DFT calculation (PBE) of a relaxed KCuIN2 crystal.

The structure in POSCAR format:
```
KCuIN2
1.0
-0.9565 -0.7614 -4.1552
-1.7870 -3.7875 1.1054
-5.2196 2.6705 0.7122
I K Cu N
1 1 1 2
Direct
0.0000 0.0000 0.5000 I
0.5000 0.5000 0.5000 K
0.0000 0.0000 0.0000 Cu
0.0000 0.5000 0.0000 N
0.5000 0.0000 0.0000 N
```

## Properties
The density of states at the Fermi level comes out at 1.50 states/eV/cell. For the density, the calculation gives 3.86 Mg/m³. The total magnetic moment comes out at 4.31 μB per formula unit.

Question: which arrangement is favored energetically? Ranking from most to least stable: version x, version w.